Version P
An optimized crystal structure of TcNiPt2, computed with PBE.

The structure in POSCAR format:
```
TcNiPt2
1.0
2.708 0.000 0.000
0.000 4.409 0.000
0.000 0.000 4.782
Tc Ni Pt
1 1 2
Cartesian
0.000 0.000 0.000
0.000 2.205 3.291
1.354 0.000 2.469
1.354 2.205 0.844
```

Calculated values
Symmetry: Pmm2 (25)
N(E_F): 1.366 states/eV/atom

=====

Version Q
An optimized crystal structure of TcNiPt2, computed with PBE.

The structure in POSCAR format:
```
TcNiPt2
1.0
-1.907 1.907 3.894
1.907 -1.907 3.894
1.907 1.907 -3.894
Tc Ni Pt
1 1 2
Cartesian
0.000 0.000 0.000
0.000 0.000 3.894
1.907 0.000 1.947
0.000 1.907 1.947
```

Calculated values
Symmetry: I4/mmm (139)
N(E_F): 0.893 states/eV/atom

=====

Name the most stable of them. version Q.

=====

Version P
An optimized crystal structure of Tc3NiPt, computed with PBE.

The structure in POSCAR format:
```
Tc3NiPt
1.0
4.362 0.000 0.000
0.000 4.362 0.000
0.000 0.000 4.362
Tc Ni Pt
3 1 1
Cartesian
0.000 0.000 2.181
0.000 2.181 0.000
2.181 0.000 0.000
0.000 0.000 0.000
2.181 2.181 2.181
```

Calculated values
Symmetry: Pm-3m (221)
N(E_F): 1.175 states/eV/atom

=====

Version Q
An optimized crystal structure of Tc3NiPt, computed with PBE.

The structure in POSCAR format:
```
Tc3NiPt
1.0
4.705 0.000 0.000
0.000 4.705 0.000
0.000 0.000 4.705
Tc Ni Pt
3 1 1
Cartesian
0.000 0.000 2.352
0.000 2.352 0.000
2.352 0.000 0.000
2.352 2.352 2.352
0.000 0.000 0.000
```

Calculated values
Symmetry: Pm-3m (221)
N(E_F): 2.320 states/eV/atom

=====

Name the most stable of them. version P.